1.
A plane-wave DFT calculation with PBE-GGA was carried out for crystalline Sr2GaO4 at its relaxed geometry.

Summary:
* offset from the most stable computed form: 0 meV/atom

Unit cell a=3.954 b=3.954 c=12.614 alpha=90.00 beta=90.00 gamma=90.00
Element x y z (fractional)
Sr 0.000 0.000 0.141
Sr 0.000 0.000 0.859
Sr 0.500 0.500 0.359
Sr 0.500 0.500 0.641
Ga 0.000 0.000 0.500
Ga 0.500 0.500 0.000
O 0.000 0.000 0.339
O 0.000 0.000 0.661
O 0.000 0.500 0.000
O 0.000 0.500 0.500
O 0.500 0.000 0.000
O 0.500 0.000 0.500
O 0.500 0.500 0.161
O 0.500 0.500 0.839

2.
A plane-wave DFT calculation with PBE-GGA was carried out for crystalline SrGaO at its relaxed geometry.

Summary:
* electronic total energy: -55.2 eV/cell

Unit cell a=11.183 b=3.764 c=7.137 alpha=90.00 beta=90.00 gamma=90.00
Element x y z (fractional)
Sr 0.237 0.000 0.000
Sr 0.237 0.500 0.500
Sr 0.763 0.000 0.000
Sr 0.763 0.500 0.500
Ga 0.000 0.000 0.221
Ga 0.000 0.500 0.721
Ga 0.500 0.000 0.307
Ga 0.500 0.500 0.807
O 0.164 0.000 0.329
O 0.164 0.500 0.829
O 0.836 0.000 0.329
O 0.836 0.500 0.829

3.
A plane-wave DFT calculation with PBE-GGA was carried out for crystalline Sr12Ga3O5 at its relaxed geometry.

Summary:
* electronic total energy: -326.7 eV/cell

Unit cell a=14.545 b=14.545 c=14.545 alpha=109.47 beta=109.47 gamma=109.47
Element x y z (fractional)
Sr 0.016 0.200 0.118
Sr 0.016 0.316 0.899
Sr 0.083 0.700 0.684
Sr 0.083 0.882 0.399
Sr 0.101 0.618 0.417
Sr 0.101 0.984 0.684
Sr 0.118 0.016 0.200
Sr 0.118 0.601 0.917
Sr 0.184 0.200 0.583
Sr 0.184 0.484 0.601
Sr 0.200 0.118 0.016
Sr 0.200 0.583 0.184
Sr 0.300 0.316 0.917
Sr 0.300 0.484 0.382
Sr 0.316 0.899 0.016
Sr 0.316 0.917 0.300
Sr 0.382 0.300 0.484
Sr 0.382 0.583 0.899
Sr 0.399 0.083 0.882
Sr 0.399 0.816 0.516
Sr 0.417 0.101 0.618
Sr 0.417 0.816 0.800
Sr 0.484 0.382 0.300
Sr 0.484 0.601 0.184
Sr 0.516 0.399 0.816
Sr 0.516 0.618 0.700
Sr 0.583 0.184 0.200
Sr 0.583 0.899 0.382
Sr 0.601 0.184 0.484
Sr 0.601 0.917 0.118
Sr 0.618 0.417 0.101
Sr 0.618 0.700 0.516
Sr 0.684 0.083 0.700
Sr 0.684 0.101 0.984
Sr 0.700 0.516 0.618
Sr 0.700 0.684 0.083
Sr 0.800 0.417 0.816
Sr 0.800 0.882 0.984
Sr 0.816 0.516 0.399
Sr 0.816 0.800 0.417
Sr 0.882 0.399 0.083
Sr 0.882 0.984 0.800
Sr 0.899 0.016 0.316
Sr 0.899 0.382 0.583
Sr 0.917 0.118 0.601
Sr 0.917 0.300 0.316
Sr 0.984 0.684 0.101
Sr 0.984 0.800 0.882
Ga 0.125 0.250 0.375
Ga 0.125 0.375 0.750
Ga 0.250 0.375 0.125
Ga 0.250 0.875 0.625
Ga 0.375 0.125 0.250
Ga 0.375 0.750 0.125
Ga 0.625 0.250 0.875
Ga 0.625 0.875 0.750
Ga 0.750 0.125 0.375
Ga 0.750 0.625 0.875
Ga 0.875 0.625 0.250
Ga 0.875 0.750 0.625
O 0.000 0.000 0.000
O 0.000 0.000 0.500
O 0.000 0.500 0.000
O 0.000 0.500 0.500
O 0.125 0.750 0.875
O 0.125 0.875 0.250
O 0.250 0.125 0.875
O 0.250 0.625 0.375
O 0.375 0.250 0.625
O 0.375 0.625 0.750
O 0.500 0.000 0.000
O 0.500 0.000 0.500
O 0.500 0.500 0.000
O 0.500 0.500 0.500
O 0.625 0.375 0.250
O 0.625 0.750 0.375
O 0.750 0.375 0.625
O 0.750 0.875 0.125
O 0.875 0.125 0.750
O 0.875 0.250 0.125

The D(E_F) results, record by record, are as follows: 0.7728, 0.3532, 0.4176 states/eV/atom.